Entry 1:
Material: Ac8AsRh3I4
Method: DFT, GGA-PBE
State: relaxed

```
16
Lattice="4.470 2.581 8.560 -4.470 2.581 8.560 0.000 -5.162 8.560" Properties=species:S:1:pos:R:3 pbc="T T T"
Ac -2.339 -1.350 14.435
Ac 0.000 0.000 5.873
Ac 0.000 -2.701 11.245
Ac -2.339 1.350 11.245
Ac 2.339 -1.350 14.435
Ac 0.000 2.701 14.435
Ac 0.000 0.000 19.807
Ac 2.339 1.350 11.245
As 0.000 0.000 12.840
Rh -4.470 0.000 12.840
Rh -2.235 1.290 4.280
Rh 2.235 1.290 4.280
I 0.000 0.000 0.000
I -2.235 -1.290 8.560
I -2.235 1.290 17.120
I 0.000 2.581 8.560
```

Values from the calculation:
The size of the total moment is 0.0 μB/f.u. Its theoretical density is 7.59 g cm⁻³. The uncorrected formation energy is -1.048 eV per atom. As for the density of states at the Fermi level: 8.6 states/eV per cell.

Entry 2:
Material: Ac4AsRhI2
Method: DFT, GGA-PBE
State: relaxed

```
8
Lattice="8.161 0.000 0.000 0.000 4.359 0.000 -2.377 0.000 8.356" Properties=species:S:1:pos:R:3 pbc="T T T"
Ac 1.264 0.000 1.554
Ac 0.179 2.179 6.712
Ac 5.606 2.179 1.643
Ac 4.520 0.000 6.801
As 4.081 0.000 0.000
Rh 0.000 2.179 0.000
I -1.188 0.000 4.178
I 2.892 2.179 4.178
```

Values from the calculation:
The size of the total moment is 0.0 μB/f.u. Its theoretical density is 7.48 g cm⁻³. The uncorrected formation energy is -1.103 eV per atom. As for the density of states at the Fermi level: 5.8 states/eV per cell.

Entry 3:
Material: Ac6AsRh2I3
Method: DFT, GGA-PBE
State: relaxed

```
12
Lattice="3.884 -6.726 0.000 3.884 6.726 0.000 -2.568 0.000 8.551" Properties=species:S:1:pos:R:3 pbc="T T T"
Ac -0.045 2.349 6.945
Ac 1.172 0.000 1.606
Ac -0.045 -2.349 6.945
Ac 5.246 2.349 1.606
Ac 4.028 0.000 6.945
Ac 5.246 -2.349 1.606
As 3.884 0.000 0.000
Rh 3.884 4.480 0.000
Rh 3.884 -4.480 0.000
I -1.284 0.000 4.276
I 2.600 2.202 4.276
I 2.600 -2.202 4.276
```

Values from the calculation:
The size of the total moment is 0.0 μB/f.u. Its theoretical density is 7.52 g cm⁻³. The uncorrected formation energy is -1.077 eV per atom. As for the density of states at the Fermi level: 3.4 states/eV per cell.